VASP calculation (GGA-PBE) on Sr2SnGeSe4 after structural relaxation.

Unit cell a=4.321 b=7.501 c=7.500 alpha=70.59 beta=90.00 gamma=90.00
Fractional coordinates of all 8 atoms:
Se 0.500 0.261 0.755
Sr 0.000 0.000 0.000
Sr 0.500 0.000 0.500
Sn 0.000 0.500 0.500
Ge 0.500 0.500 0.000
Se 0.000 0.733 0.763
Se 0.000 0.267 0.237
Se 0.500 0.739 0.245

Output
- Raw formation energy: -9.02 eV/f.u.
- Uncorrected energy: -0.1605 Ha/atom

---

VASP calculation (GGA-PBE) on ErTh2Fe9 after structural relaxation.

Unit cell a=5.116 b=5.116 c=8.766 alpha=73.04 beta=73.04 gamma=60.00
Each line ends with the local moment (μB).
Fractional coordinates of all 12 atoms:
Th 0.860 0.860 0.421  -0.42
Fe 0.421 0.918 0.240  2.14
Fe 0.918 0.421 0.240  2.14
Fe 0.500 0.500 0.500  1.84
Fe 0.667 0.667 0.998  2.41
Fe 0.579 0.579 0.760  2.14
Fe 0.082 0.579 0.760  2.14
Fe 0.421 0.421 0.240  2.14
Th 0.140 0.140 0.579  -0.42
Fe 0.333 0.333 0.002  2.41
Fe 0.579 0.082 0.760  2.14
Er 0.000 0.000 0.000  -0.41

Output
- Formation energy: -0.071 eV per atom
- Uncorrected energy: -0.2953 Ha/atom

---

VASP calculation (GGA-PBE) on Ta2MoPd after structural relaxation.

Unit cell a=3.324 b=4.496 c=4.496 alpha=90.00 beta=90.00 gamma=90.00
Fractional coordinates of all 4 atoms:
Ta 0.000 0.500 0.000
Mo 0.500 0.000 0.000
Pd 0.500 0.500 0.500
Ta 0.000 0.000 0.500

Output
- Formation energy: -0.175 eV per atom
- Uncorrected energy: -0.3714 Ha/atom

---

VASP calculation (GGA-PBE) on BaHo2S after structural relaxation.

Unit cell a=3.790 b=3.790 c=10.628 alpha=79.73 beta=79.73 gamma=60.00
Fractional coordinates of all 4 atoms:
Ho 0.117 0.117 0.649
Ho 0.883 0.883 0.351
Ba 0.000 0.000 0.000
S 0.500 0.500 0.500

Output
- Raw formation energy: -3.01 eV/f.u.
- Uncorrected energy: -0.1673 Ha/atom

---

VASP calculation (GGA-PBE) on Ac2Ga12Ni after structural relaxation.

Unit cell a=6.235 b=6.235 c=15.729 alpha=90.00 beta=90.00 gamma=90.00
Fractional coordinates of all 30 atoms:
Ga 0.500 0.500 0.821
Ga 0.000 0.000 0.179
Ga 0.326 0.826 0.431
Ga 0.326 0.174 0.569
Ac 0.000 0.500 0.243
Ga 0.250 0.750 0.082
Ga 0.750 0.750 0.082
Ga 0.250 0.250 0.082
Ga 0.674 0.826 0.569
Ac 0.500 0.000 0.243
Ac 0.000 0.500 0.757
Ga 0.174 0.674 0.569
Ga 0.000 0.000 0.344
Ga 0.500 0.500 0.344
Ac 0.500 0.000 0.757
Ga 0.174 0.326 0.431
Ga 0.674 0.174 0.431
Ga 0.250 0.750 0.918
Ga 0.500 0.500 0.179
Ga 0.000 0.000 0.656
Ga 0.750 0.250 0.918
Ni 0.000 0.500 0.000
Ga 0.826 0.326 0.569
Ga 0.000 0.000 0.821
Ni 0.500 0.000 0.000
Ga 0.750 0.750 0.918
Ga 0.500 0.500 0.656
Ga 0.250 0.250 0.918
Ga 0.750 0.250 0.082
Ga 0.826 0.674 0.431

Output
- Formation energy: -0.394 eV per atom
- Uncorrected energy: -0.1378 Ha/atom